This record from Alexandria describes crystalline Cs2TaSbW at its relaxed geometry. The functional is GGA-PBE.

POSCAR file:
```
Cs2TaSbW
1.0
6.4028 0.0000 0.0000
0.0000 6.4028 0.0000
0.0000 0.0000 5.1830
Cs Ta Sb W
2 1 1 1
Direct
0.0000 0.5000 0.0000
0.5000 0.0000 0.0000
0.0000 0.0000 0.5000
0.5000 0.5000 0.5000
0.5000 0.5000 0.0000
```

Results
Energy relative to the elements, uncorrected (eV/atom): 2.29